# PBE-GGA PmHoCu4, optimized geometry
data_PmHoCu4
_chemical_formula_sum 'Pm2 Ho2 Cu8'
_cell_length_a 4.310
_cell_length_b 6.933
_cell_length_c 7.376
_cell_angle_alpha 90.00
_cell_angle_beta 90.00
_cell_angle_gamma 90.00
_symmetry_space_group_name_H-M 'I m m 2'
_symmetry_Int_Tables_number 44
loop_
_symmetry_equiv_pos_as_xyz
'x,y,z'
'-x,-y,z'
'-x,y,z'
'x,-y,z'
'x+1/2,y+1/2,z+1/2'
'-x+1/2,-y+1/2,z+1/2'
'-x+1/2,y+1/2,z+1/2'
'x+1/2,-y+1/2,z+1/2'
loop_
_atom_site_label
_atom_site_type_symbol
_atom_site_fract_x
_atom_site_fract_y
_atom_site_fract_z
Pm1 Pm 0.000 0.000 0.000
Ho1 Ho 0.000 0.500 0.916
Cu1 Cu 0.000 0.196 0.619
Cu2 Cu 0.000 0.299 0.290
# * V: 220.4 Å³ per cell
# * total DFT energy (no corrections): -54.4 eV for the cell shown
# * DOS(E_F): 3.0 states/eV/f.u.
# * spin magnetization: 0.0 Bohr magnetons per cell

---

# PBE-GGA Sc2TiNi3, optimized geometry
data_Sc2TiNi3
_chemical_formula_sum 'Sc4 Ti2 Ni6'
_cell_length_a 4.340
_cell_length_b 13.731
_cell_length_c 3.074
_cell_angle_alpha 90.00
_cell_angle_beta 90.00
_cell_angle_gamma 90.00
_symmetry_space_group_name_H-M 'P m m n'
_symmetry_Int_Tables_number 59
loop_
_symmetry_equiv_pos_as_xyz
'x,y,z'
'-x,-y,-z'
'-x+1/2,-y+1/2,z'
'x+1/2,y+1/2,-z'
'x+1/2,-y,-z'
'-x+1/2,y,z'
'-x,y+1/2,-z'
'x,-y+1/2,z'
loop_
_atom_site_label
_atom_site_type_symbol
_atom_site_fract_x
_atom_site_fract_y
_atom_site_fract_z
Sc1 Sc 0.250 0.081 0.013
Ti1 Ti 0.250 0.750 0.990
Ni1 Ni 0.250 0.250 0.510
Ni2 Ni 0.250 0.609 0.488
# * V: 183.2 Å³ per cell
# * total DFT energy (no corrections): -81.3 eV for the cell shown
# * DOS(E_F): 4.7 states/eV/f.u.
# * spin magnetization: 0.0 Bohr magnetons per cell

---

# PBE-GGA MgZnHRh, optimized geometry
data_MgZnHRh
_chemical_formula_sum 'Mg2 Zn2 H2 Rh2'
_cell_length_a 2.938
_cell_length_b 3.957
_cell_length_c 9.068
_cell_angle_alpha 90.00
_cell_angle_beta 90.00
_cell_angle_gamma 90.00
_symmetry_space_group_name_H-M 'A m m 2'
_symmetry_Int_Tables_number 38
loop_
_symmetry_equiv_pos_as_xyz
'x,y,z'
'-x,-y,z'
'-x,y,z'
'x,-y,z'
'x,y+1/2,z+1/2'
'-x,-y+1/2,z+1/2'
'-x,y+1/2,z+1/2'
'x,-y+1/2,z+1/2'
loop_
_atom_site_label
_atom_site_type_symbol
_atom_site_fract_x
_atom_site_fract_y
_atom_site_fract_z
Mg1 Mg 0.000 0.000 0.000
Zn1 Zn 0.500 0.000 0.702
H1 H 0.500 0.000 0.406
Rh1 Rh 0.000 0.000 0.294
# * V: 105.4 Å³ per cell
# * total DFT energy (no corrections): -29.5 eV for the cell shown
# * DOS(E_F): 0.5 states/eV/f.u.
# * spin magnetization: 0.0 Bohr magnetons per cell

---

# PBE-GGA ScSnRuO2, optimized geometry
data_ScSnRuO2
_chemical_formula_sum 'Sc1 Sn1 Ru1 O2'
_cell_length_a 4.010
_cell_length_b 4.010
_cell_length_c 5.289
_cell_angle_alpha 90.00
_cell_angle_beta 90.00
_cell_angle_gamma 90.00
_symmetry_space_group_name_H-M 'P 4/m m m'
_symmetry_Int_Tables_number 123
_symmetry_space_group_name_Hall '-P 4 2'
loop_
_atom_site_label
_atom_site_type_symbol
_atom_site_fract_x
_atom_site_fract_y
_atom_site_fract_z
Sc1 Sc 0.000 0.000 0.000
Sn1 Sn 0.500 0.500 0.500
Ru1 Ru 0.500 0.500 0.000
O1 O 0.000 0.500 0.500
# * V: 85.1 Å³ per cell
# * raw formation energy: -25 kJ/mol of atoms
# * DOS(E_F): 4.4 states/eV/f.u.
# * spin magnetization: 0.8 Bohr magnetons per cell

---

# PBE-GGA Be2Al2Pd, optimized geometry
data_Be2Al2Pd
_chemical_formula_sum 'Be4 Al4 Pd2'
_cell_length_a 6.038
_cell_length_b 6.038
_cell_length_c 3.449
_cell_angle_alpha 90.00
_cell_angle_beta 90.00
_cell_angle_gamma 90.00
_symmetry_space_group_name_H-M 'P 4/m b m'
_symmetry_Int_Tables_number 127
_symmetry_space_group_name_Hall '-P 4 2ab'
loop_
_atom_site_label
_atom_site_type_symbol
_atom_site_fract_x
_atom_site_fract_y
_atom_site_fract_z
Be1 Be 0.124 0.376 0.000
Al1 Al 0.168 0.668 0.500
Pd1 Pd 0.000 0.000 0.000
# * V: 125.7 Å³ per cell
# * total DFT energy (no corrections): -41.8 eV for the cell shown
# * DOS(E_F): 1.7 states/eV/f.u.
# * spin magnetization: 0.0 Bohr magnetons per cell

---

# PBE-GGA ThCoH6Pd, optimized geometry
data_ThCoH6Pd
_chemical_formula_sum 'Th1 Co1 H6 Pd1'
_cell_length_a 4.6042
_cell_length_b 4.6042
_cell_length_c 4.1876
_cell_angle_alpha 90.00
_cell_angle_beta 90.00
_cell_angle_gamma 120.00
_symmetry_space_group_name_H-M 'P -6 m 2'
_symmetry_Int_Tables_number 187
_symmetry_space_group_name_Hall 'P -6 2'
loop_
_atom_site_label
_atom_site_type_symbol
_atom_site_fract_x
_atom_site_fract_y
_atom_site_fract_z
Th1 Th 0.0000 0.0000 0.0000
Co1 Co 0.6667 0.3333 0.5000
H1 H 0.5179 0.0357 0.2370
Pd1 Pd 0.3333 0.6667 0.5000
# * V: 76.9 Å³ per cell
# * total DFT energy (no corrections): -42.9 eV for the cell shown
# * DOS(E_F): 1.5 states/eV/f.u.
# * spin magnetization: 0.0 Bohr magnetons per cell

---

# PBE-GGA Cd2Ni2Ir, optimized geometry
data_Cd2Ni2Ir
_chemical_formula_sum 'Cd4 Ni4 Ir2'
_cell_length_a 3.741
_cell_length_b 3.741
_cell_length_c 11.806
_cell_angle_alpha 90.00
_cell_angle_beta 90.00
_cell_angle_gamma 90.00
_symmetry_space_group_name_H-M 'I 4/m m m'
_symmetry_Int_Tables_number 139
_symmetry_space_group_name_Hall '-I 4 2'
loop_
_atom_site_label
_atom_site_type_symbol
_atom_site_fract_x
_atom_site_fract_y
_atom_site_fract_z
Cd1 Cd 0.000 0.500 0.250
Ni1 Ni 0.000 0.000 0.091
Ir1 Ir 0.000 0.000 0.500
# * V: 165.2 Å³ per cell
# * total DFT energy (no corrections): -37.1 eV for the cell shown
# * DOS(E_F): 8.8 states/eV/f.u.
# * spin magnetization: 0.0 Bohr magnetons per cell

---

# PBE-GGA Ba2SrZn12Pt3, optimized geometry
data_Ba2SrZn12Pt3
_chemical_formula_sum 'Ba6 Sr3 Zn36 Pt9'
_cell_length_a 8.6623
_cell_length_b 8.6623
_cell_length_c 22.8793
_cell_angle_alpha 90.00
_cell_angle_beta 90.00
_cell_angle_gamma 120.00
_symmetry_space_group_name_H-M 'R -3 m'
_symmetry_Int_Tables_number 166
_symmetry_space_group_name_Hall '-R 3 2"'
loop_
_atom_site_label
_atom_site_type_symbol
_atom_site_fract_x
_atom_site_fract_y
_atom_site_fract_z
Ba1 Ba 0.0000 0.0000 0.1029
Sr1 Sr 0.0000 0.0000 0.5000
Zn1 Zn 0.0109 0.5055 0.3311
Zn2 Zn 0.1057 0.2114 0.2312
Pt1 Pt 0.0000 0.5000 0.0000
# * V: 1486.8 Å³ per cell
# * total DFT energy (no corrections): -122.2 eV for the cell shown
# * DOS(E_F): 9.6 states/eV/f.u.
# * spin magnetization: 0.0 Bohr magnetons per cell

---

# PBE-GGA Y3Tl4InSe8, optimized geometry
data_Y3Tl4InSe8
_chemical_formula_sum 'Y9 Tl12 In3 Se24'
_cell_length_a 8.3445
_cell_length_b 8.3445
_cell_length_c 23.2828
_cell_angle_alpha 90.00
_cell_angle_beta 90.00
_cell_angle_gamma 120.00
_symmetry_space_group_name_H-M 'R -3 m'
_symmetry_Int_Tables_number 166
_symmetry_space_group_name_Hall '-R 3 2"'
loop_
_atom_site_label
_atom_site_type_symbol
_atom_site_fract_x
_atom_site_fract_y
_atom_site_fract_z
Y1 Y 0.0000 0.5000 0.0000
Tl1 Tl 0.0000 0.0000 0.5000
Tl2 Tl 0.0000 0.5000 0.5000
In1 In 0.0000 0.0000 0.0000
Se1 Se 0.0000 0.0000 0.2649
Se2 Se 0.0052 0.5026 0.7345
# * V: 1403.9 Å³ per cell
# * raw formation energy: -111 kJ/mol of atoms
# * DOS(E_F): 0.4 states/eV/f.u.
# * spin magnetization: 0.0 Bohr magnetons per cell

---

# PBE-GGA TiIrO2, optimized geometry
data_TiIrO2
_chemical_formula_sum 'Ti4 Ir4 O8'
_cell_length_a 5.528
_cell_length_b 5.528
_cell_length_c 5.528
_cell_angle_alpha 90.00
_cell_angle_beta 90.00
_cell_angle_gamma 90.00
_symmetry_space_group_name_H-M 'F m -3 m'
_symmetry_Int_Tables_number 225
_symmetry_space_group_name_Hall '-F 4 2 3'
loop_
_atom_site_label
_atom_site_type_symbol
_atom_site_fract_x
_atom_site_fract_y
_atom_site_fract_z
Ti1 Ti 0.000 0.000 0.000
Ir1 Ir 0.000 0.000 0.500
O1 O 0.250 0.250 0.250
# * V: 169.0 Å³ per cell
# * raw formation energy: -46 kJ/mol of atoms
# * DOS(E_F): 4.4 states/eV/f.u.
# * spin magnetization: 0.0 Bohr magnetons per cell

---

# PBE-GGA ScAg2H2, optimized geometry
data_ScAg2H2
_chemical_formula_sum 'Sc2 Ag4 H4'
_cell_length_a 5.541
_cell_length_b 5.541
_cell_length_c 4.463
_cell_angle_alpha 90.00
_cell_angle_beta 90.00
_cell_angle_gamma 90.00
_symmetry_space_group_name_H-M 'P 4/m b m'
_symmetry_Int_Tables_number 127
_symmetry_space_group_name_Hall '-P 4 2ab'
loop_
_atom_site_label
_atom_site_type_symbol
_atom_site_fract_x
_atom_site_fract_y
_atom_site_fract_z
Sc1 Sc 0.000 0.000 0.000
Ag1 Ag 0.180 0.320 0.500
H1 H 0.185 0.315 0.000
# * V: 137.0 Å³ per cell
# * total DFT energy (no corrections): -38.7 eV for the cell shown
# * DOS(E_F): 1.3 states/eV/f.u.
# * spin magnetization: 0.0 Bohr magnetons per cell

---

# PBE-GGA ZrSb2Se, optimized geometry
data_ZrSb2Se
_chemical_formula_sum 'Zr1 Sb2 Se1'
_cell_length_a 5.292
_cell_length_b 5.292
_cell_length_c 3.345
_cell_angle_alpha 90.00
_cell_angle_beta 90.00
_cell_angle_gamma 90.00
_symmetry_space_group_name_H-M 'P 4/m m m'
_symmetry_Int_Tables_number 123
_symmetry_space_group_name_Hall '-P 4 2'
loop_
_atom_site_label
_atom_site_type_symbol
_atom_site_fract_x
_atom_site_fract_y
_atom_site_fract_z
Zr1 Zr 0.000 0.000 0.000
Sb1 Sb 0.000 0.500 0.500
Se1 Se 0.500 0.500 0.000
# * V: 93.7 Å³ per cell
# * raw formation energy: -7 kJ/mol of atoms
# * DOS(E_F): 2.8 states/eV/f.u.
# * spin magnetization: 0.0 Bohr magnetons per cell

---

# PBE-GGA YNi2Pt4, optimized geometry
data_YNi2Pt4
_chemical_formula_sum 'Y2 Ni4 Pt8'
_cell_length_a 5.122
_cell_length_b 6.642
_cell_length_c 6.679
_cell_angle_alpha 90.00
_cell_angle_beta 90.00
_cell_angle_gamma 90.00
_symmetry_space_group_name_H-M 'I m m m'
_symmetry_Int_Tables_number 71
_symmetry_space_group_name_Hall '-I 2 2'
loop_
_atom_site_label
_atom_site_type_symbol
_atom_site_fract_x
_atom_site_fract_y
_atom_site_fract_z
Y1 Y 0.000 0.000 0.000
Ni1 Ni 0.250 0.000 0.500
Pt1 Pt 0.000 0.298 0.299
# * V: 227.2 Å³ per cell
# * total DFT energy (no corrections): -90.9 eV for the cell shown
# * DOS(E_F): 9.9 states/eV/f.u.
# * spin magnetization: 3.6 Bohr magnetons per cell

---

# PBE-GGA LiCd3W, optimized geometry
data_LiCd3W
_chemical_formula_sum 'Li1 Cd3 W1'
_cell_length_a 4.543
_cell_length_b 4.543
_cell_length_c 4.543
_cell_angle_alpha 90.00
_cell_angle_beta 90.00
_cell_angle_gamma 90.00
_symmetry_space_group_name_H-M 'P m -3 m'
_symmetry_Int_Tables_number 221
_symmetry_space_group_name_Hall '-P 4 2 3'
loop_
_atom_site_label
_atom_site_type_symbol
_atom_site_fract_x
_atom_site_fract_y
_atom_site_fract_z
Li1 Li 0.000 0.000 0.000
Cd1 Cd 0.000 0.000 0.500
W1 W 0.500 0.500 0.500
# * V: 93.8 Å³ per cell
# * total DFT energy (no corrections): -12.4 eV for the cell shown
# * DOS(E_F): 2.5 states/eV/f.u.
# * spin magnetization: 1.3 Bohr magnetons per cell

---

# PBE-GGA LaRhS, optimized geometry
data_LaRhS
_chemical_formula_sum 'La4 Rh4 S4'
_cell_length_a 10.246
_cell_length_b 4.373
_cell_length_c 6.099
_cell_angle_alpha 90.00
_cell_angle_beta 90.00
_cell_angle_gamma 90.00
_symmetry_space_group_name_H-M 'A m m 2'
_symmetry_Int_Tables_number 38
loop_
_symmetry_equiv_pos_as_xyz
'x,y,z'
'-x,-y,z'
'-x,y,z'
'x,-y,z'
'x,y+1/2,z+1/2'
'-x,-y+1/2,z+1/2'
'-x,y+1/2,z+1/2'
'x,-y+1/2,z+1/2'
loop_
_atom_site_label
_atom_site_type_symbol
_atom_site_fract_x
_atom_site_fract_y
_atom_site_fract_z
La1 La 0.182 0.000 0.000
Rh1 Rh 0.000 0.000 0.473
Rh2 Rh 0.500 0.000 0.891
S1 S 0.351 0.000 0.611
# * V: 273.3 Å³ per cell
# * raw formation energy: -66 kJ/mol of atoms
# * DOS(E_F): 3.1 states/eV/f.u.
# * spin magnetization: 0.0 Bohr magnetons per cell

---

# PBE-GGA SrCuTeI2, optimized geometry
data_SrCuTeI2
_chemical_formula_sum 'Sr1 Cu1 Te1 I2'
_cell_length_a 5.443
_cell_length_b 5.443
_cell_length_c 5.481
_cell_angle_alpha 90.00
_cell_angle_beta 90.00
_cell_angle_gamma 90.00
_symmetry_space_group_name_H-M 'P 4/m m m'
_symmetry_Int_Tables_number 123
_symmetry_space_group_name_Hall '-P 4 2'
loop_
_atom_site_label
_atom_site_type_symbol
_atom_site_fract_x
_atom_site_fract_y
_atom_site_fract_z
Sr1 Sr 0.000 0.000 0.000
Cu1 Cu 0.500 0.500 0.500
Te1 Te 0.500 0.500 0.000
I1 I 0.000 0.500 0.500
# * V: 162.4 Å³ per cell
# * raw formation energy: -59 kJ/mol of atoms
# * DOS(E_F): 2.5 states/eV/f.u.
# * spin magnetization: 0.0 Bohr magnetons per cell

---

# PBE-GGA SrPa2Cl11, optimized geometry
data_SrPa2Cl11
_chemical_formula_sum 'Sr4 Pa8 Cl44'
_cell_length_a 11.943
_cell_length_b 11.955
_cell_length_c 13.631
_cell_angle_alpha 90.00
_cell_angle_beta 90.00
_cell_angle_gamma 90.00
_symmetry_space_group_name_H-M 'I b a m'
_symmetry_Int_Tables_number 72
_symmetry_space_group_name_Hall '-I 2 2c'
loop_
_atom_site_label
_atom_site_type_symbol
_atom_site_fract_x
_atom_site_fract_y
_atom_site_fract_z
Sr1 Sr 0.000 0.000 0.250
Pa1 Pa 0.165 0.335 0.000
Cl1 Cl 0.000 0.500 0.000
Cl2 Cl 0.062 0.219 0.134
Cl3 Cl 0.188 0.311 0.500
Cl4 Cl 0.218 0.061 0.366
# * V: 1946.1 Å³ per cell
# * raw formation energy: -188 kJ/mol of atoms
# * DOS(E_F): 6.9 states/eV/f.u.
# * spin magnetization: 4.0 Bohr magnetons per cell

---

# PBE-GGA CaTbTh, optimized geometry
data_CaTbTh
_chemical_formula_sum 'Ca2 Tb2 Th2'
_cell_length_a 4.955
_cell_length_b 4.955
_cell_length_c 8.817
_cell_angle_alpha 90.00
_cell_angle_beta 90.00
_cell_angle_gamma 90.00
_symmetry_space_group_name_H-M 'P 4/n m m'
_symmetry_Int_Tables_number 129
loop_
_symmetry_equiv_pos_as_xyz
'x,y,z'
'-x,-y,-z'
'-y+1/2,x,z'
'y+1/2,-x,-z'
'-x+1/2,-y+1/2,z'
'x+1/2,y+1/2,-z'
'y,-x+1/2,z'
'-y,x+1/2,-z'
'x+1/2,-y,-z'
'-x+1/2,y,z'
'-y,-x,-z'
'y,x,z'
'-x,y+1/2,-z'
'x,-y+1/2,z'
'y+1/2,x+1/2,-z'
'-y+1/2,-x+1/2,z'
loop_
_atom_site_label
_atom_site_type_symbol
_atom_site_fract_x
_atom_site_fract_y
_atom_site_fract_z
Ca1 Ca 0.250 0.250 0.181
Tb1 Tb 0.250 0.750 0.500
Th1 Th 0.250 0.250 0.780
# * V: 216.5 Å³ per cell
# * total DFT energy (no corrections): -25.2 eV for the cell shown
# * DOS(E_F): 5.0 states/eV/f.u.
# * spin magnetization: 0.0 Bohr magnetons per cell

---

# PBE-GGA Mg2Zn2Si, optimized geometry
data_Mg2Zn2Si
_chemical_formula_sum 'Mg4 Zn4 Si2'
_cell_length_a 6.500
_cell_length_b 6.500
_cell_length_c 4.239
_cell_angle_alpha 90.00
_cell_angle_beta 90.00
_cell_angle_gamma 90.00
_symmetry_space_group_name_H-M 'P 4/m b m'
_symmetry_Int_Tables_number 127
_symmetry_space_group_name_Hall '-P 4 2ab'
loop_
_atom_site_label
_atom_site_type_symbol
_atom_site_fract_x
_atom_site_fract_y
_atom_site_fract_z
Mg1 Mg 0.170 0.330 0.000
Zn1 Zn 0.135 0.635 0.500
Si1 Si 0.000 0.000 0.500
# * V: 179.1 Å³ per cell
# * raw formation energy: 0 kJ/mol of atoms
# * DOS(E_F): 1.5 states/eV/f.u.
# * spin magnetization: 0.0 Bohr magnetons per cell

---

# PBE-GGA Tb6NdTm3Sc2, optimized geometry
data_Tb6NdTm3Sc2
_chemical_formula_sum 'Tb12 Nd2 Tm6 Sc4'
_cell_length_a 6.072
_cell_length_b 10.507
_cell_length_c 11.591
_cell_angle_alpha 90.00
_cell_angle_beta 100.00
_cell_angle_gamma 90.00
_symmetry_space_group_name_H-M 'C 1 2/m 1'
_symmetry_Int_Tables_number 12
loop_
_symmetry_equiv_pos_as_xyz
'x,y,z'
'-x,-y,-z'
'-x,y,-z'
'x,-y,z'
'x+1/2,y+1/2,z'
'-x+1/2,-y+1/2,-z'
'-x+1/2,y+1/2,-z'
'x+1/2,-y+1/2,z'
loop_
_atom_site_label
_atom_site_type_symbol
_atom_site_fract_x
_atom_site_fract_y
_atom_site_fract_z
Tb1 Tb 0.247 0.000 0.248
Tb2 Tb 0.248 0.168 0.752
Nd1 Nd 0.000 0.500 0.000
Tm1 Tm 0.000 0.000 0.500
Tm2 Tm 0.000 0.333 0.500
Sc1 Sc 0.000 0.167 0.000
# * V: 728.2 Å³ per cell
# * total DFT energy (no corrections): -116.4 eV for the cell shown
# * DOS(E_F): 16.3 states/eV/f.u.
# * spin magnetization: 0.0 Bohr magnetons per cell